# 1
CeZnNiH6 PBE-GGA optimized geometry; total energy = -0.143 hartree per atom; space-group type = P-6m2, No. 187; total moment = 0.59 μB/cell
1.0
4.406 0.000 0.000
2.203 3.816 0.000
0.000 0.000 4.403
Ce Zn Ni H
1 1 1 6
Cartesian
4.406 0.000 4.403 Ce
4.406 2.544 2.201 Zn
2.203 1.272 2.201 Ni
1.181 1.862 0.985 H
2.203 0.092 3.418 H
3.225 1.862 3.418 H
1.181 1.862 3.418 H
3.225 1.862 0.985 H
2.203 0.092 0.985 H

---

# 2
CeZnNi2H8 PBE-GGA optimized geometry; total energy = -0.141 hartree per atom; space-group type = P-3, No. 147; total moment = 1.68 μB/cell
1.0
-3.787 1.996 -0.382
1.265 -1.494 3.826
2.787 5.524 1.236
Ce Zn Ni H
1 1 2 8
Cartesian
0.000 0.000 0.000 Ce
1.393 2.762 0.618 Zn
-1.279 2.466 1.386 Ni
1.544 3.560 3.294 Ni
2.245 4.948 3.604 H
0.145 1.776 1.561 H
-0.436 1.569 3.798 H
-1.979 1.078 1.075 H
0.701 4.457 0.881 H
0.121 4.249 3.118 H
-1.320 5.307 1.639 H
1.586 0.718 3.041 H

---

# 3
CeZn2Ni2H PBE-GGA optimized geometry; total energy = -0.152 hartree per atom; space-group type = I4/mmm, No. 139; total moment = 0.63 μB/cell
1.0
-0.074 -2.179 -3.042
1.439 -2.826 1.989
-6.543 0.585 2.043
Ce Zn Ni H
1 2 2 1
Cartesian
0.682 -2.502 -0.527 Ce
-2.211 -2.371 1.752 Zn
-2.967 -2.048 -0.763 Zn
-3.751 -3.952 0.620 Ni
-1.427 -0.467 0.369 Ni
0.000 0.000 0.000 H

---

# 4
Ce2NpH PBE-GGA optimized geometry; total energy = -0.253 hartree per atom; space-group type = R-3m, No. 166; total moment = 2.75 μB/cell
1.0
-1.978 -2.177 0.784
0.026 -2.674 -1.453
5.325 -4.861 5.850
Np H Ce
1 1 2
Cartesian
0.000 0.000 0.000 Np
1.686 -4.856 2.590 H
3.419 -3.826 3.913 Ce
-0.046 -5.886 1.268 Ce

---

# 5
CeNp2H8 PBE-GGA optimized geometry; total energy = -0.208 hartree per atom; space-group type = Immm, No. 71; total moment = 9.33 μB/cell
1.0
3.621 0.000 -1.102
-0.764 4.419 -2.510
-0.008 0.686 6.472
Ce Np H
1 2 8
Cartesian
1.810 0.000 -0.551 Ce
0.124 3.241 0.407 Np
2.725 1.864 2.453 Np
1.709 4.161 -0.884 H
0.787 2.984 2.585 H
0.479 0.977 1.575 H
-0.216 1.249 -0.710 H
2.369 4.128 1.286 H
2.062 2.121 0.275 H
1.140 0.944 3.744 H
3.065 3.856 3.570 H

---

# 6
Ce3NpH PBE-GGA optimized geometry; total energy = -0.249 hartree per atom; space-group type = Pm-3m, No. 221; total moment = 4.36 μB/cell
1.0
-0.732 -0.611 -4.667
-0.159 -4.717 0.642
-4.704 0.254 0.705
Np H Ce
1 1 3
Cartesian
-2.797 -2.537 -1.660 Np
0.000 0.000 0.000 H
-0.079 -2.359 0.321 Ce
-2.352 0.127 0.352 Ce
-0.366 -0.305 -2.334 Ce